[1]
Computed, not measured: PrEr4Sc5 after structural relaxation at the PBE level of DFT.

As for the theoretical density: 5.99 g/cm³. For the offset from the most stable computed form, the calculation gives 5.494 kcal/mol of atoms. The formation energy is 0.30 eV per atom. Its density of states at the Fermi level is 1.604 states/eV/atom. The size of the total moment is 0.00 μB per formula unit. The space group is I4.

Unit cell a=6.052 b=7.519 c=7.519 alpha=80.68 beta=66.27 gamma=66.27
Atoms (fractional coordinates):
Pr 0.230 0.000 0.000
Er 0.403 0.397 0.705
Er 0.800 0.705 0.603
Er 0.108 0.295 0.397
Er 0.505 0.603 0.295
Sc 0.802 0.372 0.912
Sc 0.174 0.912 0.628
Sc 0.714 0.088 0.372
Sc 0.086 0.628 0.088
Sc 0.688 0.000 0.000

[2]
Computed, not measured: PrEr6Sc4 after structural relaxation at the PBE level of DFT.

As for the theoretical density: 6.49 g/cm³. For the offset from the most stable computed form, the calculation gives 5.873 kcal/mol of atoms. The formation energy is 0.37 eV per atom. Its density of states at the Fermi level is 1.419 states/eV/atom. The size of the total moment is 0.00 μB per formula unit. The space group is I-42m.

Unit cell a=7.186 b=7.186 c=8.297 alpha=115.66 beta=115.66 gamma=90.00
Atoms (fractional coordinates):
Pr 0.500 0.500 0.000
Er 0.932 0.453 0.385
Er 0.453 0.932 0.385
Er 0.547 0.547 0.615
Er 0.000 0.500 0.000
Er 0.068 0.068 0.615
Er 0.500 0.000 0.000
Sc 0.072 0.768 0.839
Sc 0.928 0.928 0.161
Sc 0.768 0.072 0.839
Sc 0.232 0.232 0.161

[3]
Computed, not measured: PrErSc after structural relaxation at the PBE level of DFT.

As for the theoretical density: 6.45 g/cm³. For the offset from the most stable computed form, the calculation gives 0.732 kcal/mol of atoms. The formation energy is 0.09 eV per atom. Its density of states at the Fermi level is 1.619 states/eV/atom. The size of the total moment is 0.00 μB per formula unit. The space group is P-6m2.

Unit cell a=3.419 b=5.541 c=5.541 alpha=120.00 beta=90.00 gamma=90.00
Atoms (fractional coordinates):
Pr 0.667 0.667 0.333
Sc 0.168 0.333 0.667
Er 0.166 0.000 0.000